1.
Sm12Ho7Th | PBE | optimized geometry

Computed properties:
The formation energy is 28.40 kJ per mole of atoms. Its total energy is -4.510 eV/atom. The energy above the most stable polymorph in this dataset is 62.5 meV per atom.

Geometry as CIF:
```
data_Sm12Ho7Th
_chemical_formula_sum 'Sm12 Ho7 Th1'
_cell_length_a 6.184
_cell_length_b 11.524
_cell_length_c 11.524
_cell_angle_alpha 116.87
_cell_angle_beta 100.30
_cell_angle_gamma 100.30
_symmetry_space_group_name_H-M 'P 1'
_symmetry_Int_Tables_number 1
loop_
_symmetry_equiv_pos_as_xyz
'x,y,z'
loop_
_atom_site_label
_atom_site_type_symbol
_atom_site_fract_x
_atom_site_fract_y
_atom_site_fract_z
Sm1 Sm 0.088 0.586 0.174
Sm2 Sm 0.087 0.174 0.588
Sm3 Sm 0.608 0.646 0.002
Sm4 Sm 0.394 0.002 0.355
Sm5 Sm 0.499 0.412 0.586
Sm6 Sm 0.039 0.645 0.646
Sm7 Sm 0.961 0.355 0.354
Sm8 Sm 0.501 0.588 0.414
Sm9 Sm 0.606 0.998 0.645
Sm10 Sm 0.392 0.354 0.998
Sm11 Sm 0.913 0.826 0.412
Sm12 Sm 0.912 0.414 0.826
Ho1 Ho 0.148 0.754 0.002
Ho2 Ho 0.854 0.002 0.248
Ho3 Ho 0.606 0.752 0.754
Ho4 Ho 0.500 0.000 0.000
Ho5 Ho 0.394 0.248 0.246
Ho6 Ho 0.146 0.998 0.752
Ho7 Ho 0.852 0.246 0.998
Th1 Th 0.000 0.000 0.000
```

=====

2.
Sm5Ho6Th2 | PBE | optimized geometry

Computed properties:
The formation energy is 10.49 kJ per mole of atoms. Its total energy is -4.961 eV/atom.

Geometry as CIF:
```
data_Sm5Ho6Th2
_chemical_formula_sum 'Sm10 Ho12 Th4'
_cell_length_a 3.572
_cell_length_b 11.514
_cell_length_c 20.846
_cell_angle_alpha 90.00
_cell_angle_beta 90.00
_cell_angle_gamma 90.00
_symmetry_space_group_name_H-M 'P 1'
_symmetry_Int_Tables_number 1
loop_
_symmetry_equiv_pos_as_xyz
'x,y,z'
loop_
_atom_site_label
_atom_site_type_symbol
_atom_site_fract_x
_atom_site_fract_y
_atom_site_fract_z
Sm1 Sm 0.500 0.309 0.423
Sm2 Sm 0.500 0.691 0.577
Sm3 Sm 0.500 0.809 0.077
Sm4 Sm 0.500 0.191 0.923
Sm5 Sm 0.500 0.566 0.294
Sm6 Sm 0.500 0.434 0.706
Sm7 Sm 0.500 0.066 0.206
Sm8 Sm 0.500 0.934 0.794
Sm9 Sm 0.500 0.500 0.000
Sm10 Sm 0.500 0.000 0.500
Ho1 Ho 0.000 0.063 0.353
Ho2 Ho 0.000 0.937 0.647
Ho3 Ho 0.000 0.563 0.147
Ho4 Ho 0.000 0.437 0.853
Ho5 Ho 0.500 0.314 0.123
Ho6 Ho 0.500 0.686 0.877
Ho7 Ho 0.500 0.814 0.377
Ho8 Ho 0.500 0.186 0.623
Ho9 Ho 0.000 0.580 0.437
Ho10 Ho 0.000 0.420 0.563
Ho11 Ho 0.000 0.080 0.063
Ho12 Ho 0.000 0.920 0.937
Th1 Th 0.000 0.312 0.264
Th2 Th 0.000 0.688 0.736
Th3 Th 0.000 0.812 0.236
Th4 Th 0.000 0.188 0.764
```

=====

3.
Sm2Ho8Th3 | PBE | optimized geometry

Computed properties:
The formation energy is 26.26 kJ per mole of atoms. Its total energy is -4.983 eV/atom.

Geometry as CIF:
```
data_Sm2Ho8Th3
_chemical_formula_sum 'Sm2 Ho8 Th3'
_cell_length_a 5.534
_cell_length_b 7.854
_cell_length_c 10.796
_cell_angle_alpha 111.33
_cell_angle_beta 90.01
_cell_angle_gamma 90.00
_symmetry_space_group_name_H-M 'P 1'
_symmetry_Int_Tables_number 1
loop_
_symmetry_equiv_pos_as_xyz
'x,y,z'
loop_
_atom_site_label
_atom_site_type_symbol
_atom_site_fract_x
_atom_site_fract_y
_atom_site_fract_z
Sm1 Sm 0.500 0.761 0.522
Sm2 Sm 0.500 0.239 0.478
Ho1 Ho 0.000 0.334 0.667
Ho2 Ho 0.000 0.666 0.333
Ho3 Ho 0.000 0.874 0.748
Ho4 Ho 0.000 0.126 0.252
Ho5 Ho 0.500 0.811 0.213
Ho6 Ho 0.500 0.402 0.213
Ho7 Ho 0.500 0.598 0.787
Ho8 Ho 0.500 0.189 0.787
Th1 Th 0.500 0.000 0.000
Th2 Th 0.000 0.297 0.000
Th3 Th 0.000 0.703 0.000
```

=====

4.
Sm3Ho4Th2 | PBE | optimized geometry

Computed properties:
The formation energy is 12.52 kJ per mole of atoms. Its total energy is -5.127 eV/atom. The energy above the most stable polymorph in this dataset is 126.7 meV per atom.

Geometry as CIF:
```
data_Sm3Ho4Th2
_chemical_formula_sum 'Sm3 Ho4 Th2'
_cell_length_a 5.800
_cell_length_b 6.355
_cell_length_c 9.460
_cell_angle_alpha 116.32
_cell_angle_beta 107.85
_cell_angle_gamma 90.00
_symmetry_space_group_name_H-M 'P 1'
_symmetry_Int_Tables_number 1
loop_
_symmetry_equiv_pos_as_xyz
'x,y,z'
loop_
_atom_site_label
_atom_site_type_symbol
_atom_site_fract_x
_atom_site_fract_y
_atom_site_fract_z
Sm1 Sm 0.872 0.312 0.744
Sm2 Sm 0.128 0.688 0.256
Sm3 Sm 0.000 0.000 0.000
Ho1 Ho 0.561 0.381 0.121
Ho2 Ho 0.770 0.674 0.540
Ho3 Ho 0.439 0.619 0.879
Ho4 Ho 0.230 0.326 0.460
Th1 Th 0.354 0.991 0.709
Th2 Th 0.646 0.009 0.291
```

=====

5.
Sm7Ho12Th | PBE | optimized geometry

Computed properties:
The formation energy is 23.12 kJ per mole of atoms. Its total energy is -4.530 eV/atom. The energy above the most stable polymorph in this dataset is 0.0 meV per atom.

Geometry as CIF:
```
data_Sm7Ho12Th
_chemical_formula_sum 'Sm7 Ho12 Th1'
_cell_length_a 8.722
_cell_length_b 8.722
_cell_length_c 8.722
_cell_angle_alpha 89.11
_cell_angle_beta 89.11
_cell_angle_gamma 89.11
_symmetry_space_group_name_H-M 'P 1'
_symmetry_Int_Tables_number 1
loop_
_symmetry_equiv_pos_as_xyz
'x,y,z'
loop_
_atom_site_label
_atom_site_type_symbol
_atom_site_fract_x
_atom_site_fract_y
_atom_site_fract_z
Sm1 Sm 0.840 0.619 0.953
Sm2 Sm 0.381 0.047 0.160
Sm3 Sm 0.047 0.160 0.381
Sm4 Sm 0.500 0.500 0.500
Sm5 Sm 0.953 0.840 0.619
Sm6 Sm 0.619 0.953 0.840
Sm7 Sm 0.160 0.381 0.047
Ho1 Ho 0.865 0.285 0.743
Ho2 Ho 0.715 0.257 0.135
Ho3 Ho 0.617 0.147 0.502
Ho4 Ho 0.853 0.498 0.383
Ho5 Ho 0.257 0.135 0.715
Ho6 Ho 0.498 0.383 0.853
Ho7 Ho 0.502 0.617 0.147
Ho8 Ho 0.743 0.865 0.285
Ho9 Ho 0.147 0.502 0.617
Ho10 Ho 0.383 0.853 0.498
Ho11 Ho 0.285 0.743 0.865
Ho12 Ho 0.135 0.715 0.257
Th1 Th 0.000 0.000 0.000
```

=====

6.
SmHo3Th5 | PBE | optimized geometry

Computed properties:
The formation energy is 41.41 kJ per mole of atoms. Its total energy is -5.743 eV/atom.

Geometry as CIF:
```
data_SmHo3Th5
_chemical_formula_sum 'Sm2 Ho6 Th10'
_cell_length_a 8.426
_cell_length_b 8.426
_cell_length_c 10.241
_cell_angle_alpha 114.29
_cell_angle_beta 114.29
_cell_angle_gamma 90.00
_symmetry_space_group_name_H-M 'P 1'
_symmetry_Int_Tables_number 1
loop_
_symmetry_equiv_pos_as_xyz
'x,y,z'
loop_
_atom_site_label
_atom_site_type_symbol
_atom_site_fract_x
_atom_site_fract_y
_atom_site_fract_z
Sm1 Sm 0.750 0.250 0.500
Sm2 Sm 0.250 0.750 0.500
Ho1 Ho 0.619 0.119 0.000
Ho2 Ho 0.381 0.881 0.000
Ho3 Ho 0.881 0.619 0.000
Ho4 Ho 0.119 0.381 0.000
Ho5 Ho 0.250 0.250 0.500
Ho6 Ho 0.750 0.750 0.500
Th1 Th 0.072 0.572 0.714
Th2 Th 0.643 0.143 0.714
Th3 Th 0.143 0.072 0.714
Th4 Th 0.572 0.643 0.714
Th5 Th 0.928 0.428 0.286
Th6 Th 0.357 0.857 0.286
Th7 Th 0.857 0.928 0.286
Th8 Th 0.428 0.357 0.286
Th9 Th 0.500 0.500 0.000
Th10 Th 0.000 0.000 0.000
```

=====

7.
Sm7HoTh2 | PBE | optimized geometry

Computed properties:
The formation energy is 70.81 kJ per mole of atoms. Its total energy is -4.511 eV/atom.

Geometry as CIF:
```
data_Sm7HoTh2
_chemical_formula_sum 'Sm7 Ho1 Th2'
_cell_length_a 5.590
_cell_length_b 9.448
_cell_length_c 9.448
_cell_angle_alpha 124.49
_cell_angle_beta 90.00
_cell_angle_gamma 90.00
_symmetry_space_group_name_H-M 'P 1'
_symmetry_Int_Tables_number 1
loop_
_symmetry_equiv_pos_as_xyz
'x,y,z'
loop_
_atom_site_label
_atom_site_type_symbol
_atom_site_fract_x
_atom_site_fract_y
_atom_site_fract_z
Sm1 Sm 0.000 0.785 0.215
Sm2 Sm 0.000 0.215 0.785
Sm3 Sm 0.500 0.066 0.288
Sm4 Sm 0.500 0.934 0.712
Sm5 Sm 0.500 0.288 0.066
Sm6 Sm 0.500 0.712 0.934
Sm7 Sm 0.500 0.500 0.500
Ho1 Ho 0.000 0.000 0.000
Th1 Th 0.500 0.705 0.295
Th2 Th 0.500 0.295 0.705
```

=====

8.
Sm8Ho6Th | PBE | optimized geometry

Computed properties:
The formation energy is 12.04 kJ per mole of atoms. Its total energy is -4.718 eV/atom.

Geometry as CIF:
```
data_Sm8Ho6Th
_chemical_formula_sum 'Sm8 Ho6 Th1'
_cell_length_a 8.701
_cell_length_b 8.701
_cell_length_c 8.701
_cell_angle_alpha 62.83
_cell_angle_beta 62.83
_cell_angle_gamma 62.83
_symmetry_space_group_name_H-M 'P 1'
_symmetry_Int_Tables_number 1
loop_
_symmetry_equiv_pos_as_xyz
'x,y,z'
loop_
_atom_site_label
_atom_site_type_symbol
_atom_site_fract_x
_atom_site_fract_y
_atom_site_fract_z
Sm1 Sm 0.114 0.717 0.754
Sm2 Sm 0.246 0.886 0.283
Sm3 Sm 0.283 0.246 0.886
Sm4 Sm 0.578 0.578 0.578
Sm5 Sm 0.422 0.422 0.422
Sm6 Sm 0.717 0.754 0.114
Sm7 Sm 0.754 0.114 0.717
Sm8 Sm 0.886 0.283 0.246
Ho1 Ho 0.902 0.463 0.756
Ho2 Ho 0.244 0.098 0.537
Ho3 Ho 0.537 0.244 0.098
Ho4 Ho 0.463 0.756 0.902
Ho5 Ho 0.756 0.902 0.463
Ho6 Ho 0.098 0.537 0.244
Th1 Th 0.000 0.000 0.000
```

=====

9.
Sm5Ho4Th | PBE | optimized geometry

Computed properties:
The formation energy is 3.91 kJ per mole of atoms. Its total energy is -4.892 eV/atom. The energy above the most stable polymorph in this dataset is 0.0 meV per atom.

Geometry as CIF:
```
data_Sm5Ho4Th
_chemical_formula_sum 'Sm5 Ho4 Th1'
_cell_length_a 3.538
_cell_length_b 11.488
_cell_length_c 12.030
_cell_angle_alpha 136.80
_cell_angle_beta 98.46
_cell_angle_gamma 90.00
_symmetry_space_group_name_H-M 'P 1'
_symmetry_Int_Tables_number 1
loop_
_symmetry_equiv_pos_as_xyz
'x,y,z'
loop_
_atom_site_label
_atom_site_type_symbol
_atom_site_fract_x
_atom_site_fract_y
_atom_site_fract_z
Sm1 Sm 0.203 0.295 0.407
Sm2 Sm 0.190 0.799 0.380
Sm3 Sm 0.810 0.201 0.620
Sm4 Sm 0.500 0.500 0.000
Sm5 Sm 0.797 0.705 0.593
Ho1 Ho 0.605 0.912 0.210
Ho2 Ho 0.082 0.368 0.165
Ho3 Ho 0.395 0.088 0.790
Ho4 Ho 0.918 0.632 0.835
Th1 Th 0.500 0.000 0.000
```

=====

Number 1: N(E_F) 31.41 states/eV/f.u.. Number 2: N(E_F) 17.77 states/eV/f.u.. Number 3: N(E_F) 23.30 states/eV/f.u.. Number 4: N(E_F) 13.16 states/eV/f.u.. Number 5: N(E_F) 41.33 states/eV/f.u.. Number 6: N(E_F) 15.03 states/eV/f.u.. Number 7: N(E_F) 15.96 states/eV/f.u.. Number 8: N(E_F) 23.39 states/eV/f.u.. Number 9: N(E_F) 14.62 states/eV/f.u..